<i>
A relaxed CoSe2NO crystal. Source: Alexandria, functional GGA+U.

```
data_CoSe2NO
_chemical_formula_sum 'Co1 Se2 N1 O1'
_cell_length_a 4.332
_cell_length_b 4.332
_cell_length_c 3.895
_cell_angle_alpha 90.00
_cell_angle_beta 90.00
_cell_angle_gamma 90.00
_symmetry_space_group_name_H-M 'P 4/m m m'
_symmetry_Int_Tables_number 123
_symmetry_space_group_name_Hall '-P 4 2'
loop_
_atom_site_label
_atom_site_type_symbol
_atom_site_fract_x
_atom_site_fract_y
_atom_site_fract_z
_atom_site_occupancy
Co1 Co 0.000 0.000 0.000 1
Se1 Se 0.000 0.500 0.500 1
N1 N 0.500 0.500 0.000 1
O1 O 0.500 0.500 0.500 1
```

---

<ii>
A relaxed CoSe2NO crystal. Source: Alexandria, functional GGA+U.

```
data_CoSe2NO
_chemical_formula_sum 'Co1 Se2 N1 O1'
_cell_length_a 4.782
_cell_length_b 4.782
_cell_length_c 3.276
_cell_angle_alpha 90.00
_cell_angle_beta 90.00
_cell_angle_gamma 90.00
_symmetry_space_group_name_H-M 'P 4/m m m'
_symmetry_Int_Tables_number 123
_symmetry_space_group_name_Hall '-P 4 2'
loop_
_atom_site_label
_atom_site_type_symbol
_atom_site_fract_x
_atom_site_fract_y
_atom_site_fract_z
_atom_site_occupancy
Co1 Co 0.000 0.000 0.000 1
Se1 Se 0.000 0.500 0.000 1
N1 N 0.000 0.000 0.500 1
O1 O 0.500 0.500 0.500 1
```

---

<ii> comes first in stability; the runner-up is 0.325 eV/atom higher.